Here is crystalline SiNiO2F at its relaxed geometry from Alexandria via LeMat-Bulk. Energies are from PBE with a Hubbard U.

Structure (POSCAR):
```
SiNiO2F
1.0
3.8201 0.0000 0.0000
0.0000 3.8201 0.0000
0.0000 0.0000 3.7875
Si Ni O F
1 1 2 1
Direct
0.0000 0.0000 0.0000 Si
0.5000 0.5000 0.5000 Ni
0.0000 0.5000 0.5000 O
0.5000 0.0000 0.5000 O
0.5000 0.5000 0.0000 F
```

Properties
Total energy in eV per atom: -4.546
Space group: P4/mmm (123)